(1)
Compound: Na2GaBi4
Source: Alexandria via LeMat-Bulk
Functional: PBE
Structure: optimized geometry

a = 5.6613 Å, b = 5.6613 Å, c = 15.7217 Å
α = 90.00°, β = 90.00°, γ = 90.00°
Last column: nearest neighbours and their distance in Å.
Space group I4/mmm (No. 139)
One atom of each set of equivalent atoms:
Na  0.0000  0.0000  0.1234  5 Bi 3.26-3.43
Ga  0.0000  0.0000  0.5000  6 Bi 2.66-2.83
Bi  0.0000  0.0000  0.3307  1 Ga 2.66
Bi  0.0000  0.5000  0.0000  2 Ga 2.83

Formation energy from the elements = 0.234 eV/atom

***

(2)
Compound: Pm7DyY12
Source: Alexandria via LeMat-Bulk
Functional: PBE
Structure: optimized geometry

a = 12.0412 Å, b = 12.0412 Å, c = 16.3484 Å
α = 90.00°, β = 90.00°, γ = 120.00°
Last column: nearest neighbours and their distance in Å.
Space group R-3 (No. 148, hexagonal axes)
One atom of each set of equivalent atoms:
Pm  0.0000  0.0000  0.0000  6 Y 3.30
Pm  0.0560  0.1881  0.2905  3 Pm 3.46-3.49, 7 Y 3.50-3.84
Dy  0.0000  0.0000  0.5000  6 Y 3.41
Y  0.0259  0.4496  0.2212  4 Y 3.31-3.63, 1 Dy 3.41, 2 Pm 3.53-3.63
Y  0.0532  0.5858  0.5831  5 Y 3.26-3.63, 2 Pm 3.30-3.50

Polymorph energy (0 for the lowest one) = 0.000 eV per atom
Formation energy from the elements = 0.235 eV/atom

***

(3)
Compound: AcTbGa6
Source: Alexandria via LeMat-Bulk
Functional: PBE
Structure: optimized geometry

a = 4.4022 Å, b = 6.5500 Å, c = 6.0532 Å
α = 90.00°, β = 90.00°, γ = 90.00°
Last column: nearest neighbours and their distance in Å.
Space group Pmm2 (No. 25)
One atom of each set of equivalent atoms:
Ac  0.0000  0.0000  0.0000  12 Ga 3.25-3.58
Tb  0.5000  0.5000  0.2367  8 Ga 3.06-3.23
Ga  0.0000  0.2602  0.4792  5 Ga 2.77-2.92, 2 Tb 3.08
Ga  0.0000  0.5000  0.8854  6 Ga 2.72-2.92
Ga  0.5000  0.0000  0.4166  6 Ga 2.78-2.81
Ga  0.5000  0.2865  0.7559  6 Ga 2.72-2.80

Formation energy from the elements = -0.472 eV/atom

***

(4)
Compound: HgBiSe2N
Source: Alexandria via LeMat-Bulk
Functional: PBE
Structure: optimized geometry

a = 5.5928 Å, b = 5.5928 Å, c = 4.5015 Å
α = 90.00°, β = 90.00°, γ = 90.00°
Last column: nearest neighbours and their distance in Å.
Space group P4/mmm (No. 123)
One atom of each set of equivalent atoms:
Hg  0.0000  0.0000  0.0000  8 Se 3.59, 4 N 3.95
Bi  0.5000  0.5000  0.5000  2 N 2.25
Se  0.0000  0.5000  0.5000  2 Bi 2.80
N  0.5000  0.5000  0.0000  2 Bi 2.25

Formation energy (no corrections) = 943 meV per atom
Polymorph energy (0 for the lowest one) = 0.000 eV per atom

***

(5)
Compound: In2Pd3Au4
Source: Alexandria via LeMat-Bulk
Functional: PBE
Structure: optimized geometry

a = 16.0858 Å, b = 3.1265 Å, c = 6.6667 Å
α = 90.00°, β = 98.23°, γ = 90.00°
Last column: nearest neighbours and their distance in Å.
Space group C2/m (No. 12)
One atom of each set of equivalent atoms:
In  0.1521  0.0000  0.0686  4 Pd 2.79-2.88, 4 Au 2.83-2.95
Pd  0.0000  0.5000  0.0000  4 Au 2.78, 4 In 2.88, 2 Pd 2.89
Pd  0.1091  0.5000  0.3849  2 In 2.79, 7 Au 2.82-2.95, 1 Pd 2.89
Au  0.0475  0.0000  0.6899  2 Au 2.76-2.81, 6 Pd 2.78-2.95, 1 In 2.83
Au  0.2214  0.0000  0.6815  5 Au 2.81-3.13, 3 Pd 2.82-2.93, 3 In 2.90-2.95

Polymorph energy (0 for the lowest one) = 0.000 eV per atom
Formation energy from the elements = -0.205 eV/atom

***

(6)
Compound: SrPmSeS
Source: Alexandria via LeMat-Bulk
Functional: PBE
Structure: optimized geometry

a = 4.1128 Å, b = 4.1128 Å, c = 22.1178 Å
α = 90.00°, β = 90.00°, γ = 120.00°
Last column: nearest neighbours and their distance in Å.
Space group R3m (No. 160, hexagonal axes)
One atom of each set of equivalent atoms:
Sr  0.0000  0.0000  0.0000  3 S 2.95, 3 Se 3.14
Pm  0.0000  0.0000  0.8219  3 S 2.91, 3 Se 3.03
Se  0.0000  0.0000  0.5740  3 Pm 3.03, 3 Sr 3.14
S  0.0000  0.0000  0.4122  3 Pm 2.91, 3 Sr 2.95

Formation energy (no corrections) = -1915 meV per atom

***

(7)
Compound: PuNiH2
Source: Alexandria via LeMat-Bulk
Functional: PBE
Structure: optimized geometry

a = 3.9770 Å, b = 3.9770 Å, c = 10.8909 Å
α = 90.00°, β = 90.00°, γ = 120.00°
Last column: nearest neighbours and their distance in Å.
Space group R-3m (No. 166, hexagonal axes)
One atom of each set of equivalent atoms:
Pu  0.0000  0.0000  0.0000  6 H 2.31
Ni  0.0000  0.0000  0.5000  2 H 1.56
H  0.0000  0.0000  0.3569  1 Ni 1.56

Total DFT energy (no corrections) = -6.849 eV per atom

***

(8)
Compound: SrCd2GeRh
Source: Alexandria via LeMat-Bulk
Functional: PBE
Structure: optimized geometry

a = 5.2292 Å, b = 5.2292 Å, c = 4.7342 Å
α = 90.00°, β = 90.00°, γ = 90.00°
Last column: nearest neighbours and their distance in Å.
Space group P4/mmm (No. 123)
One atom of each set of equivalent atoms:
Sr  0.0000  0.0000  0.0000  8 Cd 3.53, 4 Ge 3.70
Cd  0.0000  0.5000  0.5000  2 Rh 2.61
Ge  0.5000  0.5000  0.0000  2 Rh 2.37
Rh  0.5000  0.5000  0.5000  2 Ge 2.37, 4 Cd 2.61

Formation energy from the elements = -0.271 eV/atom

***

(9)
Compound: ThAgPN
Source: Alexandria via LeMat-Bulk
Functional: PBE
Structure: optimized geometry

a = 4.1454 Å, b = 4.1454 Å, c = 8.5588 Å
α = 90.00°, β = 90.00°, γ = 90.00°
Last column: nearest neighbours and their distance in Å.
Space group P4/nmm (No. 129, origin choice 2)
One atom of each set of equivalent atoms:
Th  0.2500  0.2500  0.1330  4 N 2.36
Ag  0.2500  0.7500  0.5000  4 P 2.60
P  0.2500  0.2500  0.6836  4 Ag 2.60
N  0.2500  0.7500  0.0000  4 Th 2.36

Formation energy (no corrections) = -906 meV per atom

***

(10)
Compound: BaNaPb
Source: Alexandria via LeMat-Bulk
Functional: PBE
Structure: optimized geometry

a = 5.6301 Å, b = 5.6301 Å, c = 4.0449 Å
α = 90.00°, β = 90.00°, γ = 120.00°
Last column: nearest neighbours and their distance in Å.
Space group P-6m2 (No. 187)
One atom of each set of equivalent atoms:
Ba  0.0000  0.0000  0.0000  6 Pb 3.83, 6 Na 3.83, 2 Ba 4.04
Na  0.3333  0.6667  0.5000  3 Pb 3.25
Pb  0.6667  0.3333  0.5000  3 Na 3.25

Polymorph energy (0 for the lowest one) = 0.022 eV per atom
Formation energy from the elements = -0.350 eV/atom

***

(11)
Compound: Nd3Dy2Co2
Source: Alexandria via LeMat-Bulk
Functional: PBE
Structure: optimized geometry

a = 12.1297 Å, b = 3.7786 Å, c = 8.9426 Å
α = 90.00°, β = 115.22°, γ = 90.00°
Last column: nearest neighbours and their distance in Å.
Space group C2/m (No. 12)
One atom of each set of equivalent atoms:
Nd  0.0000  0.0000  0.0000  4 Co 3.03
Nd  0.1150  0.0000  0.4244  3 Co 2.84-2.93
Dy  0.1761  0.5000  0.8094  2 Co 2.71
Co  0.1842  0.5000  0.2434  2 Dy 2.71, 5 Nd 2.84-3.03

Formation energy from the elements = -0.086 eV/atom

***

(12)
Compound: Tl2SnBiO4
Source: Alexandria via LeMat-Bulk
Functional: PBE
Structure: optimized geometry

a = 6.1352 Å, b = 6.1451 Å, c = 6.4030 Å
α = 118.62°, β = 118.46°, γ = 90.13°
Last column: nearest neighbours and their distance in Å.
Space group P1 (No. 1)
One atom of each set of equivalent atoms:
Tl  0.0000  0.0000  0.0000  4 O 2.82-2.83
Tl  0.2496  0.7507  0.5010  4 O 2.89-2.91
Sn  0.7501  0.2501  0.4996  4 O 2.04
Bi  0.4998  0.5000  0.0004  4 O 2.28-2.29
O  0.0972  0.2095  0.7338  1 Sn 2.04
O  0.4740  0.9024  0.2620  1 Sn 2.04
O  0.6386  0.5248  0.7371  1 Sn 2.04, 1 Bi 2.28
O  0.7908  0.3644  0.2657  1 Sn 2.04

Formation energy (no corrections) = -925 meV per atom

***

(13)
Compound: SrAs2Pt
Source: Alexandria via LeMat-Bulk
Functional: PBE
Structure: optimized geometry

a = 4.7902 Å, b = 4.0717 Å, c = 5.0304 Å
α = 90.00°, β = 100.47°, γ = 90.00°
Last column: nearest neighbours and their distance in Å.
Space group P2/m (No. 10)
One atom of each set of equivalent atoms:
Sr  0.0000  0.0000  0.0000  4 As 3.11, 2 Pt 3.14
As  0.2526  0.5000  0.6410  2 Pt 2.52, 1 As 2.57
Pt  0.5000  0.0000  0.5000  4 As 2.52

Formation energy from the elements = -0.823 eV/atom

***

(14)
Compound: SrMg2Pb
Source: Alexandria via LeMat-Bulk
Functional: PBE
Structure: optimized geometry

a = 6.7300 Å, b = 11.9613 Å, c = 3.4122 Å
α = 90.00°, β = 118.37°, γ = 90.00°
Last column: nearest neighbours and their distance in Å.
Space group C2/m (No. 12)
One atom of each set of equivalent atoms:
Sr  0.0000  0.0000  0.0000  4 Pb 3.36-3.47, 2 Sr 3.41, 4 Mg 3.46
Mg  0.2500  0.2500  0.5000  6 Mg 3.36-3.47, 2 Pb 3.46, 2 Sr 3.46
Pb  0.0000  0.5000  0.0000  4 Sr 3.36-3.47, 2 Pb 3.41, 4 Mg 3.46

Formation energy from the elements = -0.069 eV/atom

***

(15)
Compound: TeO2F2
Source: Alexandria via LeMat-Bulk
Functional: PBE
Structure: optimized geometry

a = 3.7046 Å, b = 3.7046 Å, c = 4.1988 Å
α = 90.00°, β = 90.00°, γ = 90.00°
Last column: nearest neighbours and their distance in Å.
Space group P4/mmm (No. 123)
One atom of each set of equivalent atoms:
Te  0.0000  0.0000  0.0000  4 F 2.62, 8 O 2.80
O  0.0000  0.5000  0.5000  2 F 1.85
F  0.5000  0.5000  0.0000  2 F 2.10
F  0.5000  0.5000  0.5000  4 O 1.85

Formation energy (no corrections) = 450 meV per atom
Polymorph energy (0 for the lowest one) = 1.172 eV per atom

***

(16)
Compound: InPO4
Source: Alexandria via LeMat-Bulk
Functional: PBE
Structure: optimized geometry

a = 8.1586 Å, b = 5.7605 Å, c = 7.2129 Å
α = 90.00°, β = 96.98°, γ = 90.00°
Last column: nearest neighbours and their distance in Å.
Space group C2/c (No. 15)
One atom of each set of equivalent atoms:
In  0.2500  0.2500  0.0000  4 O 2.09-2.16
P  0.0000  0.1227  0.2500  4 O 1.55-1.57
O  0.0102  0.2732  0.0733  1 P 1.55
O  0.1642  0.0213  0.7720  1 P 1.57

Formation energy (no corrections) = -1888 meV per atom

***

(17)
Compound: RbLiAsS3
Source: Alexandria via LeMat-Bulk
Functional: PBE
Structure: optimized geometry

a = 6.8621 Å, b = 12.6407 Å, c = 6.6635 Å
α = 90.00°, β = 90.00°, γ = 90.00°
Last column: nearest neighbours and their distance in Å.
Space group Cmcm (No. 63)
One atom of each set of equivalent atoms:
Rb  0.0000  0.2384  0.2500  4 S 3.37-3.44
Li  0.0000  0.0777  0.7500  5 S 2.52-2.57
As  0.0000  0.4510  0.7500  1 S 2.20
S  0.0000  0.2771  0.7500  1 As 2.20
S  0.2468  0.0000  0.0000  2 As 2.49, 2 Li 2.57

Formation energy (no corrections) = -677 meV per atom

***

(18)
Compound: Mg6HgPb
Source: Alexandria via LeMat-Bulk
Functional: PBE
Structure: optimized geometry

a = 4.4792 Å, b = 4.4792 Å, c = 9.0286 Å
α = 90.00°, β = 90.00°, γ = 90.00°
Last column: nearest neighbours and their distance in Å.
Space group P4/mmm (No. 123)
One atom of each set of equivalent atoms:
Mg  0.0000  0.0000  0.0000  8 Mg 3.11, 4 Hg 3.17
Mg  0.0000  0.0000  0.5000  4 Pb 3.17, 8 Mg 3.25
Mg  0.0000  0.5000  0.2390  2 Hg 3.11, 8 Mg 3.11-3.25, 2 Pb 3.25
Hg  0.5000  0.5000  0.0000  12 Mg 3.11-3.17
Pb  0.5000  0.5000  0.5000  12 Mg 3.17-3.25

Formation energy from the elements = -0.098 eV/atom

***

(19)
Compound: PmCdC2O6
Source: Alexandria via LeMat-Bulk
Functional: PBE
Structure: optimized geometry

a = 8.6266 Å, b = 9.9100 Å, c = 7.1958 Å
α = 90.00°, β = 112.83°, γ = 90.00°
Last column: nearest neighbours and their distance in Å.
Space group C2/c (No. 15)
One atom of each set of equivalent atoms:
Pm  0.0000  0.0941  0.2500  8 O 2.34-2.56
Cd  0.0000  0.3959  0.7500  4 O 2.62-2.81
C  0.2372  0.1265  0.7608  3 O 1.27-1.31
O  0.0905  0.1101  0.6117  1 C 1.31
O  0.1737  0.2694  0.2274  1 C 1.27
O  0.2174  0.4702  0.1044  1 C 1.31

Formation energy (no corrections) = -1767 meV per atom

***

(20)
Compound: ZrTaAu
Source: Alexandria via LeMat-Bulk
Functional: PBE
Structure: optimized geometry

a = 4.7679 Å, b = 4.7679 Å, c = 5.9270 Å
α = 90.00°, β = 90.00°, γ = 120.00°
Last column: nearest neighbours and their distance in Å.
Space group P3m1 (No. 156)
One atom of each set of equivalent atoms:
Zr  0.0000  0.0000  0.0000  2 Ta 2.84-3.08, 6 Au 2.98-3.02
Zr  0.3333  0.6667  0.6694  5 Au 2.82-3.11, 3 Ta 2.97
Ta  0.0000  0.0000  0.4795  5 Zr 2.84-3.08, 3 Ta 2.93
Ta  0.6667  0.3333  0.3116  5 Au 2.83-3.09, 3 Ta 2.93
Au  0.3333  0.6667  0.1939  5 Zr 2.82-3.11, 3 Ta 2.84
Au  0.6667  0.3333  0.7898  2 Ta 2.83-3.09, 6 Zr 2.84-3.02

Polymorph energy (0 for the lowest one) = 0.167 eV per atom
Formation energy from the elements = -0.144 eV/atom

***

(21)
Compound: CeDy2Ag
Source: Alexandria via LeMat-Bulk
Functional: PBE
Structure: optimized geometry

a = 3.4754 Å, b = 3.4754 Å, c = 31.4920 Å
α = 90.00°, β = 90.00°, γ = 120.00°
Last column: nearest neighbours and their distance in Å.
Space group R-3m (No. 166, hexagonal axes)
One atom of each set of equivalent atoms:
Ce  0.0000  0.0000  0.0000  6 Ce 3.48, 6 Dy 3.48
Dy  0.0000  0.0000  0.2429  3 Ag 3.13, 6 Dy 3.48, 3 Ce 3.48
Ag  0.0000  0.0000  0.5000  6 Dy 3.13, 6 Ag 3.48

Polymorph energy (0 for the lowest one) = 0.108 eV per atom
Formation energy from the elements = 0.013 eV/atom

***

(22)
Compound: NbAlTcW
Source: Alexandria via LeMat-Bulk
Functional: PBE
Structure: optimized geometry

a = 6.3340 Å, b = 6.3340 Å, c = 6.3340 Å
α = 90.00°, β = 90.00°, γ = 90.00°
Last column: nearest neighbours and their distance in Å.
Space group F-43m (No. 216)
One atom of each set of equivalent atoms:
Nb  0.0000  0.0000  0.0000  4 W 2.74, 4 Al 2.74
Al  0.2500  0.2500  0.2500  4 Nb 2.74, 4 Tc 2.74
Tc  0.0000  0.0000  0.5000  4 W 2.74, 4 Al 2.74
W  0.2500  0.2500  0.7500  4 Nb 2.74, 4 Tc 2.74

Formation energy from the elements = -0.078 eV/atom

***

(23)
Compound: Cs2HgMoCl6
Source: Alexandria via LeMat-Bulk
Functional: PBE
Structure: optimized geometry

a = 11.3936 Å, b = 11.3936 Å, c = 11.3936 Å
α = 90.00°, β = 90.00°, γ = 90.00°
Last column: nearest neighbours and their distance in Å.
Space group Fm-3m (No. 225)
One atom of each set of equivalent atoms:
Cs  0.2500  0.2500  0.2500  12 Cl 4.05
Hg  0.0000  0.0000  0.0000  6 Cl 3.29
Mo  0.0000  0.0000  0.5000  6 Cl 2.40
Cl  0.0000  0.0000  0.2892  1 Mo 2.40

Formation energy (no corrections) = -1237 meV per atom
Polymorph energy (0 for the lowest one) = 0.026 eV per atom

***

(24)
Compound: LaNdBiO2
Source: Alexandria via LeMat-Bulk
Functional: PBE
Structure: optimized geometry

a = 4.0589 Å, b = 4.0589 Å, c = 14.1791 Å
α = 90.00°, β = 90.00°, γ = 90.00°
Last column: nearest neighbours and their distance in Å.
Space group I4mm (No. 107)
One atom of each set of equivalent atoms:
La  0.0000  0.0000  0.0000  4 O 2.36
Nd  0.0000  0.0000  0.6689  4 O 2.35
Bi  0.0000  0.0000  0.3315  4 Nd 3.68, 4 La 3.73, 4 O 4.04, 4 Bi 4.06
O  0.0000  0.5000  0.0855  2 Nd 2.35, 2 La 2.36

Formation energy (no corrections) = -2627 meV per atom

***

(25)
Compound: Li3TaBi
Source: Alexandria via LeMat-Bulk
Functional: PBE
Structure: optimized geometry

a = 5.0369 Å, b = 5.0369 Å, c = 5.0369 Å
α = 90.00°, β = 90.00°, γ = 90.00°
Last column: nearest neighbours and their distance in Å.
Space group Pm-3m (No. 221)
One atom of each set of equivalent atoms:
Li  0.0000  0.0000  0.5000  2 Bi 2.52
Ta  0.5000  0.5000  0.5000  12 Li 3.56
Bi  0.0000  0.0000  0.0000  6 Li 2.52

Polymorph energy (0 for the lowest one) = 0.000 eV per atom
Formation energy from the elements = 1.003 eV/atom